Nb2Ge2O7: PBEsol geometry, SCAN.

abc: 3.9226 26.2752 5.6906
angles: 90.00 90.00 90.00
Space group Cmc2_1 (No. 36)
Asymmetric unit:
Nb 0.0000 0.0561 0.0000 x4
Nb 0.0000 0.1625 0.4761 x4
Ge 0.0000 0.2866 0.4224 x4
Ge 0.0000 0.4336 0.0594 x4
O 0.0000 0.0071 0.2310 x4
O 0.0000 0.0927 0.6579 x4
O 0.0000 0.1153 0.1813 x4
O 0.0000 0.2033 0.7533 x4
O 0.0000 0.2224 0.2784 x4
O 0.0000 0.3512 0.0062 x4
O 0.0000 0.4427 0.4087 x4

Summary:
total magnetic moment: 0.000 μB/f.u.
raw formation energy: -2.081 eV/atom

Nb2Ge2O7: PBEsol geometry, SCAN.

abc: 7.9118 5.6473 13.5093
angles: 90.00 96.15 90.00
Space group P2_1 (No. 4)
Asymmetric unit:
Nb 0.0271 0.0000 0.1102 x2
Nb 0.0873 0.4793 0.3149 x2
Nb 0.4233 0.9892 0.6746 x2
Nb 0.4673 0.4995 0.8793 x2
Ge 0.0779 0.4622 0.5736 x2
Ge 0.1945 0.0501 0.8598 x2
Ge 0.3197 0.5750 0.0979 x2
Ge 0.3559 0.9655 0.4326 x2
O 0.0032 0.7299 0.9871 x2
O 0.0299 0.1830 0.2268 x2
O 0.0407 0.6613 0.1855 x2
O 0.0445 0.3020 0.4395 x2
O 0.1189 0.7757 0.3920 x2
O 0.1912 0.0410 0.7099 x2
O 0.2248 0.4007 0.8867 x2
O 0.2753 0.9323 0.1085 x2
O 0.3167 0.4376 0.3073 x2
O 0.3636 0.8111 0.5591 x2
O 0.4449 0.6967 0.7723 x2
O 0.4633 0.6972 0.9931 x2
O 0.4735 0.2630 0.6056 x2
O 0.4784 0.1701 0.8169 x2

Summary:
total magnetic moment: 0.000 μB/f.u.
raw formation energy: -2.109 eV/atom

NbGeP2: PBEsol geometry, SCAN.

abc: 5.7361 5.7361 10.2431
angles: 90.00 90.00 90.00
Space group I-42d (No. 122)
Asymmetric unit:
Nb 0.0000 0.0000 0.0000 x4
Ge 0.0000 0.0000 0.5000 x4
P 0.2425 0.7500 0.6250 x8

Summary:
total magnetic moment: 0.000 μB/f.u.
ΔH_f (0 K): 44 meV per atom

Nb6GePt: PBEsol geometry, SCAN.

abc: 5.1379 5.1379 5.1379
angles: 90.00 90.00 90.00
Space group Pm-3 (No. 200)
Asymmetric unit:
Nb 0.0000 0.2491 0.5000 x6
Ge 0.5000 0.5000 0.5000 x1
Pt 0.0000 0.0000 0.0000 x1

Summary:
total magnetic moment: 0.004 μB/f.u.
ΔH_f (0 K): -427 meV per atom

Rb3NbGe: PBEsol geometry, SCAN.

abc: 6.5931 6.5931 6.5931
angles: 90.00 90.00 90.00
Space group Pm-3m (No. 221)
Asymmetric unit:
Rb 0.0000 0.0000 0.5000 x3
Nb 0.5000 0.5000 0.5000 x1
Ge 0.0000 0.0000 0.0000 x1

Summary:
offset from the most stable computed form: 0 meV per atom
total magnetic moment: 3.932 μB/f.u.
ΔH_f (0 K): 1144 meV per atom

SrNbRe2Ge: PBEsol geometry, SCAN.

abc: 4.6741 4.6741 4.8203
angles: 90.00 90.00 90.00
Space group P4/mmm (No. 123)
Asymmetric unit:
Sr 0.0000 0.0000 0.0000 x1
Nb 0.5000 0.5000 0.0000 x1
Re 0.0000 0.5000 0.5000 x2
Ge 0.5000 0.5000 0.5000 x1

Summary:
total magnetic moment: 0.000 μB/f.u.
ΔH_f (0 K): 1254 meV per atom

NbGeS2: PBEsol geometry, SCAN.

abc: 3.2189 3.2189 25.3767
angles: 90.00 90.00 120.00
Space group R-3m (No. 166, hexagonal axes)
Asymmetric unit:
Nb 0.0000 0.0000 0.0000 x3
Ge 0.0000 0.0000 0.5000 x3
S 0.0000 0.0000 0.3972 x6

Summary:
total magnetic moment: 0.000 μB/f.u.
raw formation energy: -0.650 eV/atom

NbGeS2: PBEsol geometry, SCAN.

abc: 3.3147 3.3147 23.2164
angles: 90.00 90.00 120.00
Space group R-3m (No. 166, hexagonal axes)
Asymmetric unit:
Nb 0.0000 0.0000 0.0000 x3
Ge 0.0000 0.0000 0.5000 x3
S 0.0000 0.0000 0.1023 x6

Summary:
total magnetic moment: 0.000 μB/f.u.
raw formation energy: 0.057 eV/atom

SrNb2GeSb: PBEsol geometry, SCAN.

abc: 4.8650 4.8650 5.5019
angles: 90.00 90.00 90.00
Space group P4/mmm (No. 123)
Asymmetric unit:
Sr 0.0000 0.0000 0.0000 x1
Nb 0.0000 0.5000 0.5000 x2
Ge 0.5000 0.5000 0.5000 x1
Sb 0.5000 0.5000 0.0000 x1

Summary:
total magnetic moment: 1.633 μB/f.u.
raw formation energy: 0.594 eV/atom

ScNb2Ge2: PBEsol geometry, SCAN.

abc: 6.9750 6.9750 3.4951
angles: 90.00 90.00 90.00
Space group P4/mbm (No. 127)
Asymmetric unit:
Sc 0.0000 0.0000 0.0000 x2
Nb 0.1656 0.3344 0.5000 x4
Ge 0.1317 0.6317 0.0000 x4

Summary:
total magnetic moment: 0.000 μB/f.u.
ΔH_f (0 K): -660 meV per atom

Sc2Nb3Ge3: PBEsol geometry, SCAN.

abc: 5.3768 13.5469 7.7376
angles: 90.00 90.00 90.00
Space group Amm2 (No. 38)
Asymmetric unit:
Sc 0.0000 0.0000 0.0000 x2
Sc 0.0000 0.1262 0.6286 x4
Sc 0.5000 0.0000 0.5042 x2
Nb 0.2497 0.1669 0.2545 x8
Nb 0.5000 0.1330 0.8886 x4
Ge 0.0000 0.0000 0.3617 x2
Ge 0.0000 0.1954 0.9505 x4
Ge 0.5000 0.0000 0.1415 x2
Ge 0.5000 0.1936 0.5620 x4

Summary:
total magnetic moment: 0.000 μB/f.u.
ΔH_f (0 K): -726 meV per atom

Sc2NbGe2: PBEsol geometry, SCAN.

abc: 6.9689 6.9689 3.7307
angles: 90.00 90.00 90.00
Space group P4/mbm (No. 127)
Asymmetric unit:
Sc 0.1727 0.3273 0.0000 x4
Nb 0.0000 0.0000 0.5000 x2
Ge 0.1326 0.6326 0.5000 x4

Summary:
total magnetic moment: 0.000 μB/f.u.
ΔH_f (0 K): -738 meV per atom